SmNiSb2 | Alexandria via LeMat-Bulk | PBE | relaxed; space group = I4/mmm, No. 139; size of the total moment = 0.00 μB/cell; raw formation energy = -2.8 eV per formula unit
1.0
-0.595 -2.239 3.739
-3.651 -1.805 -1.661
7.337 -5.271 -4.575
Sb Ni Sm
4 2 2
direct
0.000 0.500 0.000
0.682 0.682 0.363
0.318 0.318 0.637
0.500 0.000 0.000
0.750 0.250 0.500
0.250 0.750 0.500
0.131 0.131 0.262
0.869 0.869 0.738